a) LiSnI6: relaxed, PBE.

Results
* total moment: 0.13 μB/atom
* N(E_F): 0.153 states/eV/f.u.
* symmetry: C2/m (12)

a = 7.999 Å, b = 8.143 Å, c = 8.144 Å
α = 73.63°, β = 54.99°, γ = 60.58°
Fractional positions:
Li (0.000, 0.000, 0.500)
Sn (0.000, 0.000, 0.000)
I (0.544, 0.000, 0.278)
I (0.113, 0.717, 0.766)
I (0.456, 0.000, 0.722)
I (0.170, 0.717, 0.234)
I (0.887, 0.283, 0.234)
I (0.830, 0.283, 0.766)

b) LiSnI6: relaxed, PBE.

Results
* total moment: 0.00 μB/atom
* N(E_F): 2.788 states/eV/f.u.
* symmetry: P-1 (2)

a = 7.636 Å, b = 7.774 Å, c = 8.463 Å
α = 51.24°, β = 58.26°, γ = 58.18°
Fractional positions:
Li (0.500, 0.500, 0.500)
Sn (0.000, 0.000, 0.000)
I (0.081, 0.436, 0.723)
I (0.779, 0.091, 0.736)
I (0.563, 0.225, 0.241)
I (0.221, 0.909, 0.264)
I (0.919, 0.564, 0.277)
I (0.437, 0.775, 0.759)

Preferred: a); penalty for the next structure: 26 meV per atom.

a) LiSnTe2I: relaxed, PBE.

Results
* total moment: 0.00 μB/atom
* N(E_F): 4.435 states/eV/f.u.
* symmetry: P4/mmm (123)

a = 5.737 Å, b = 5.737 Å, c = 6.233 Å
α = 90.00°, β = 90.00°, γ = 90.00°
Fractional positions:
I (0.000, 0.000, 0.500)
Te (0.000, 0.500, 0.000)
Te (0.500, 0.000, 0.000)
Sn (0.000, 0.000, 0.000)
Li (0.500, 0.500, 0.500)

b) LiSnTe2I: relaxed, PBE.

Results
* total moment: 0.00 μB/atom
* N(E_F): 4.587 states/eV/f.u.
* symmetry: P4/mmm (123)

a = 5.077 Å, b = 5.077 Å, c = 5.863 Å
α = 90.00°, β = 90.00°, γ = 90.00°
Fractional positions:
I (0.000, 0.000, 0.500)
Te (0.000, 0.500, 0.000)
Te (0.500, 0.000, 0.000)
Sn (0.500, 0.500, 0.500)
Li (0.000, 0.000, 0.000)

Preferred: a); penalty for the next structure: 27 meV per atom.

a) SrLiI2: relaxed, PBE.

Results
* total moment: 0.00 μB/atom
* N(E_F): 2.894 states/eV/f.u.
* symmetry: Fm-3m (225)

a = 5.737 Å, b = 5.737 Å, c = 5.737 Å
α = 60.00°, β = 60.00°, γ = 60.00°
Fractional positions:
I (0.250, 0.250, 0.250)
I (0.750, 0.750, 0.750)
Sr (0.500, 0.500, 0.500)
Li (0.000, 0.000, 0.000)

b) SrLiI2: relaxed, PBE.

Results
* total moment: 0.18 μB/atom
* N(E_F): 0.925 states/eV/f.u.
* symmetry: R-3m (166)

a = 4.261 Å, b = 4.261 Å, c = 8.961 Å
α = 76.25°, β = 76.25°, γ = 60.00°
Fractional positions:
I (0.266, 0.266, 0.201)
I (0.734, 0.734, 0.799)
Sr (0.500, 0.500, 0.500)
Li (0.000, 0.000, 0.000)

c) SrLiI2: relaxed, PBE.

Results
* total moment: 0.24 μB/atom
* N(E_F): 0.550 states/eV/f.u.
* symmetry: R3m (160)

a = 4.321 Å, b = 4.321 Å, c = 8.677 Å
α = 75.58°, β = 75.58°, γ = 60.00°
Fractional positions:
Sr (0.500, 0.500, 0.500)
Li (0.667, 0.667, 0.999)
I (0.068, 0.068, 0.795)
I (0.265, 0.265, 0.206)

d) SrLiI2: relaxed, PBE.

Results
* total moment: 0.21 μB/atom
* N(E_F): 3.404 states/eV/f.u.
* symmetry: I-42d (122)

a = 7.254 Å, b = 7.254 Å, c = 8.337 Å
α = 64.21°, β = 64.21°, γ = 90.00°
Fractional positions:
I (0.560, 0.125, 0.250)
I (0.190, 0.625, 0.250)
I (0.375, 0.440, 0.750)
I (0.875, 0.810, 0.750)
Sr (0.000, 0.000, 0.000)
Sr (0.750, 0.250, 0.500)
Li (0.500, 0.500, 0.000)
Li (0.250, 0.750, 0.500)

Preferred: c); penalty for the next structure: 40 meV per atom.

a) SrLiI: relaxed, PBE.

Results
* total moment: 0.00 μB/atom
* N(E_F): 1.119 states/eV/f.u.
* symmetry: P-1 (2)

a = 7.576 Å, b = 9.410 Å, c = 9.410 Å
α = 55.30°, β = 66.51°, γ = 66.52°
Fractional positions:
I (0.265, 0.614, 0.864)
I (0.735, 0.886, 0.636)
I (0.735, 0.386, 0.136)
I (0.265, 0.114, 0.364)
Sr (0.031, 0.481, 0.731)
Sr (0.031, 0.982, 0.231)
Sr (0.969, 0.519, 0.269)
Sr (0.969, 0.018, 0.769)
Li (0.559, 0.431, 0.686)
Li (0.559, 0.936, 0.182)
Li (0.441, 0.569, 0.314)
Li (0.441, 0.064, 0.818)

b) SrLiI: relaxed, PBE.

Results
* total moment: 0.00 μB/atom
* N(E_F): 1.028 states/eV/f.u.
* symmetry: P-6m2 (187)

a = 4.455 Å, b = 4.983 Å, c = 4.983 Å
α = 120.00°, β = 90.00°, γ = 90.00°
Fractional positions:
I (0.167, 0.000, 0.000)
Sr (0.666, 0.667, 0.333)
Li (0.167, 0.333, 0.667)

Preferred: a); penalty for the next structure: 121 meV per atom.

a) Sr2Li2I: relaxed, PBE.

Results
* total moment: 0.00 μB/atom
* N(E_F): 6.287 states/eV/f.u.
* symmetry: P4/mbm (127)

a = 9.282 Å, b = 9.282 Å, c = 4.667 Å
α = 90.00°, β = 90.00°, γ = 90.00°
Fractional positions:
I (0.000, 0.000, 0.000)
I (0.500, 0.500, 0.000)
Sr (0.321, 0.821, 0.000)
Sr (0.821, 0.679, 0.000)
Sr (0.679, 0.179, 0.000)
Sr (0.179, 0.321, 0.000)
Li (0.109, 0.609, 0.500)
Li (0.609, 0.891, 0.500)
Li (0.891, 0.391, 0.500)
Li (0.391, 0.109, 0.500)

b) Sr2Li2I: relaxed, PBE.

Results
* total moment: 0.00 μB/atom
* N(E_F): 4.106 states/eV/f.u.
* symmetry: I4/mmm (139)

a = 4.098 Å, b = 4.098 Å, c = 10.862 Å
α = 79.13°, β = 79.13°, γ = 90.00°
Fractional positions:
I (0.000, 0.000, 0.000)
Sr (0.388, 0.388, 0.225)
Sr (0.612, 0.612, 0.775)
Li (0.750, 0.250, 0.500)
Li (0.250, 0.750, 0.500)

Preferred: b); penalty for the next structure: 57 meV per atom.

a) LiTaI6: relaxed, PBE.

Results
* total moment: 0.00 μB/atom
* symmetry: C2/m (12)

a = 7.413 Å, b = 8.057 Å, c = 7.678 Å
α = 105.23°, β = 101.43°, γ = 122.85°
Fractional positions:
Li (0.000, 0.000, 0.000)
Ta (0.000, 0.500, 0.000)
I (0.852, 0.109, 0.704)
I (0.148, 0.405, 0.296)
I (0.852, 0.595, 0.704)
I (0.148, 0.891, 0.296)
I (0.440, 0.720, 0.000)
I (0.560, 0.280, 0.000)

b) LiTaI6: relaxed, PBE.

Results
* total moment: 0.00 μB/atom
* symmetry: R-3 (148)

a = 7.301 Å, b = 7.301 Å, c = 7.752 Å
α = 61.91°, β = 61.90°, γ = 60.00°
Fractional positions:
Li (0.500, 0.500, 0.500)
Ta (0.000, 0.000, 0.000)
I (0.082, 0.392, 0.757)
I (0.769, 0.082, 0.757)
I (0.608, 0.231, 0.243)
I (0.231, 0.918, 0.243)
I (0.918, 0.608, 0.243)
I (0.392, 0.769, 0.757)

Preferred: a); penalty for the next structure: 12 meV per atom.